(1)
AcTbDy6Y2 PBE optimized geometry; energy of formation from the pure elements = 0.133 eV per atom; space-group type = C2/c (15)
1.0
-6.881 -0.225 6.517
-4.925 -4.567 -5.858
5.515 -4.731 5.161
Ac Tb Dy Y
2 2 12 4
direct
0.250 0.964 0.036
0.750 0.036 0.964
0.250 0.412 0.588
0.750 0.588 0.412
0.059 0.124 0.755
0.441 0.245 0.876
0.941 0.876 0.245
0.559 0.755 0.124
0.320 0.990 0.450
0.180 0.550 0.010
0.680 0.010 0.550
0.820 0.450 0.990
0.114 0.711 0.481
0.386 0.519 0.289
0.886 0.289 0.519
0.614 0.481 0.711
0.448 0.795 0.688
0.052 0.312 0.205
0.552 0.205 0.312
0.948 0.688 0.795

***

(2)
PmSm6DyHo2 PBE optimized geometry; energy of formation from the pure elements = 0.118 eV per atom; space-group type = C2/c (15)
1.0
9.203 -1.932 -2.005
0.779 8.628 -2.003
0.779 -2.322 8.548
Pm Sm Dy Ho
2 12 2 4
direct
0.250 0.972 0.028
0.750 0.028 0.972
0.055 0.118 0.757
0.445 0.243 0.882
0.945 0.882 0.243
0.555 0.757 0.118
0.316 0.987 0.437
0.184 0.563 0.013
0.684 0.013 0.563
0.816 0.437 0.987
0.119 0.707 0.489
0.381 0.511 0.293
0.881 0.293 0.511
0.619 0.489 0.707
0.250 0.410 0.590
0.750 0.590 0.410
0.453 0.799 0.699
0.047 0.301 0.201
0.547 0.201 0.301
0.953 0.699 0.799

***

(3)
Ce2HfAl PBE optimized geometry; energy of formation from the pure elements = -0.129 eV per atom; energy relative to the lowest polymorph listed for this composition = 0.000 eV per atom; space-group type = P4/mmm (123)
1.0
-2.302 -3.882 1.873
-0.888 -1.415 -4.025
3.740 -2.236 -0.039
Hf Al Ce
1 1 2
direct
0.500 0.000 0.000
0.500 0.500 0.500
0.000 0.000 0.500
0.000 0.500 0.000

***

(4)
Na6Hg5I PBE optimized geometry; energy relative to the elements, uncorrected = -354 meV/atom; space-group type = Immm (71)
1.0
4.975 0.021 -1.452
-1.081 6.920 -3.603
0.067 0.468 9.486
I Na Hg
1 6 5
direct
0.000 0.000 0.000
0.839 0.598 0.677
0.839 0.080 0.677
0.500 0.736 0.000
0.500 0.264 0.000
0.161 0.920 0.323
0.161 0.402 0.323
0.699 0.199 0.398
0.325 0.325 0.650
0.000 0.500 0.000
0.675 0.675 0.350
0.301 0.801 0.602

***

(5)
PmYMgMn PBE optimized geometry; energy of formation from the pure elements = 0.099 eV per atom; space-group type = F-43m (216)
1.0
5.258 0.000 0.000
2.629 4.554 0.000
2.629 1.518 4.293
Y Mg Mn Pm
1 1 1 1
direct
0.250 0.250 0.250
0.000 0.000 0.000
0.500 0.500 0.500
0.750 0.750 0.750

***

(6)
CrHPt2Au PBE optimized geometry; space-group type = P4/mmm (123)
1.0
4.013 0.000 0.000
0.000 4.013 0.000
0.000 0.000 4.113
Cr Au Pt H
1 1 2 1
direct
0.000 0.000 0.500
0.500 0.500 0.500
0.000 0.500 0.000
0.500 0.000 0.000
0.000 0.000 0.000

***

(7)
TiSbN2 PBE optimized geometry; energy relative to the elements, uncorrected = -482 meV/atom; space-group type = R-3m (166)
1.0
1.802 0.000 6.415
-0.901 1.561 6.415
-0.901 -1.561 6.415
Sb N Ti
1 2 1
direct
0.000 0.000 0.000
0.888 0.888 0.888
0.112 0.112 0.112
0.500 0.500 0.500

***

(8)
K3DyEr2O6 PBE optimized geometry; energy relative to the elements, uncorrected = -2788 meV/atom; space-group type = C2/m (12)
1.0
5.989 -0.001 0.000
-2.994 5.187 0.000
-0.999 -1.730 6.253
K Dy Er O
3 1 2 6
direct
0.167 0.833 0.500
0.833 0.167 0.500
0.500 0.500 0.500
0.000 0.000 0.000
0.333 0.667 0.000
0.667 0.333 0.000
0.939 0.603 0.816
0.726 0.726 0.184
0.061 0.397 0.184
0.603 0.939 0.816
0.274 0.274 0.816
0.397 0.061 0.184

***

(9)
AcDyPd2 PBE optimized geometry; energy of formation from the pure elements = -0.826 eV per atom; energy relative to the lowest polymorph listed for this composition = 0.000 eV per atom; space-group type = Amm2 (38)
1.0
3.951 0.000 -0.025
0.000 4.656 0.000
-1.939 0.000 5.542
Ac Dy Pd
1 1 2
direct
0.722 0.000 0.983
0.451 0.500 0.440
0.164 0.500 0.867
0.995 0.000 0.528

***

(10)
Zr4Ag3 PBE optimized geometry; energy of formation from the pure elements = 0.000 eV per atom; energy relative to the lowest polymorph listed for this composition = 0.092 eV per atom; space-group type = P6/mmm (191)
1.0
2.144 4.852 1.432
-5.423 -0.499 -0.730
-0.597 -1.307 5.325
Zr Ag
4 3
direct
0.000 0.000 0.262
0.000 0.000 0.738
0.667 0.333 0.500
0.333 0.667 0.500
0.000 0.500 0.000
0.500 0.500 0.000
0.500 0.000 0.000

***

(11)
Ca2ZnOs PBE optimized geometry; energy of formation from the pure elements = 0.486 eV per atom; space-group type = R-3m (166)
1.0
9.851 0.023 0.013
9.290 3.275 0.013
9.290 1.601 2.857
Zn Os Ca
1 1 2
direct
0.750 0.750 0.750
0.250 0.250 0.250
0.991 0.991 0.991
0.509 0.509 0.509

***

(12)
ScCoAs2 PBE optimized geometry; energy of formation from the pure elements = -0.375 eV per atom; space-group type = Cmmm (65)
1.0
3.267 0.022 0.000
-0.999 3.110 0.000
0.000 0.000 6.528
As Co Sc
2 1 1
direct
0.000 0.000 0.034
0.000 0.000 0.466
0.500 0.500 0.250
0.500 0.500 0.750

***

(13)
Tl2Te PBE optimized geometry; energy relative to the elements, uncorrected = -139 meV/atom; energy relative to the lowest polymorph listed for this composition = 0.159 eV per atom; space-group type = P-3m1 (164)
1.0
5.812 0.000 0.000
-2.906 5.033 0.000
0.000 0.000 3.296
Te Tl
1 2
direct
0.000 0.000 0.000
0.333 0.667 0.737
0.667 0.333 0.263

***

(14)
ErLu2P PBE optimized geometry; energy of formation from the pure elements = -0.456 eV per atom; space-group type = R-3m (166)
1.0
3.637 0.000 0.000
1.819 3.150 0.000
1.819 1.050 10.003
P Lu Er
1 2 1
direct
0.500 0.500 0.500
0.113 0.113 0.661
0.887 0.887 0.339
0.000 0.000 0.000

***

(15)
Pr3Dy2YSe6 PBE optimized geometry; energy relative to the elements, uncorrected = -1807 meV/atom; space-group type = C2/m (12)
1.0
7.164 -0.018 -0.004
-3.595 6.196 -0.004
-1.194 -2.067 6.955
Pr Dy Y Se
3 2 1 6
direct
0.166 0.834 0.500
0.834 0.166 0.500
0.500 0.500 0.500
0.333 0.667 0.000
0.667 0.333 0.000
0.000 0.000 0.000
0.923 0.588 0.767
0.743 0.743 0.233
0.077 0.412 0.233
0.588 0.923 0.767
0.257 0.257 0.767
0.412 0.077 0.233

***

(16)
BaSbPb2 PBE optimized geometry; energy relative to the elements, uncorrected = -88 meV/atom; space-group type = R-3m (166)
1.0
9.374 -0.083 -0.050
8.360 4.241 -0.050
8.360 1.960 3.761
Ba Pb Sb
1 2 1
direct
0.750 0.750 0.750
0.984 0.984 0.984
0.516 0.516 0.516
0.250 0.250 0.250

***

(17)
LaCoTe2I PBE optimized geometry; energy relative to the elements, uncorrected = -481 meV/atom; space-group type = P4/mmm (123)
1.0
5.191 0.000 0.000
0.000 5.191 0.000
0.000 0.000 5.125
I Te Co La
1 2 1 1
direct
0.000 0.000 0.500
0.000 0.500 0.000
0.500 0.000 0.000
0.000 0.000 0.000
0.500 0.500 0.500

***

(18)
Sr2CaAg2 PBE optimized geometry; energy of formation from the pure elements = 0.101 eV per atom; energy relative to the lowest polymorph listed for this composition = 0.380 eV per atom; space-group type = I4/mmm (139)
1.0
-3.702 2.607 -2.644
-3.301 -0.599 4.030
-1.170 7.184 3.521
Sr Ca Ag
2 1 2
direct
0.366 0.366 0.268
0.634 0.634 0.732
0.000 0.000 0.000
0.750 0.250 0.500
0.250 0.750 0.500

***

(19)
Mg3Ru2 PBE optimized geometry; energy of formation from the pure elements = 0.135 eV per atom; energy relative to the lowest polymorph listed for this composition = 0.281 eV per atom; space-group type = R-3m (166)
1.0
-8.696 -4.636 -5.925
-8.823 -6.411 -3.641
-10.217 -3.873 -3.582
Mg Ru
3 2
direct
0.000 0.000 0.000
0.794 0.794 0.794
0.206 0.206 0.206
0.602 0.602 0.602
0.398 0.398 0.398

***

(20)
ZrAsBr PBE optimized geometry; energy relative to the elements, uncorrected = 18 meV/atom; energy relative to the lowest polymorph listed for this composition = 0.927 eV per atom; space-group type = F-43m (216)
1.0
-2.817 3.814 -0.283
-4.709 -0.542 -0.304
-2.769 1.185 3.673
As Br Zr
1 1 1
direct
0.750 0.750 0.750
0.000 0.000 0.000
0.500 0.500 0.500

***

(21)
PuMgSnAu PBE optimized geometry; energy of formation from the pure elements = -0.390 eV per atom; space-group type = F-43m (216)
1.0
-0.456 4.682 1.933
-3.964 2.910 -1.294
-3.640 1.001 3.408
Mg Au Sn Pu
1 1 1 1
direct
0.250 0.250 0.250
0.500 0.500 0.500
0.000 0.000 0.000
0.750 0.750 0.750

***

(22)
KBeHg2Mo PBE optimized geometry; energy of formation from the pure elements = 1.880 eV per atom; space-group type = P4/mmm (123)
1.0
-4.831 -0.265 -4.442
-4.472 -0.774 4.910
-0.709 6.518 0.382
K Be Mo Hg
1 1 1 2
direct
0.000 0.000 0.000
0.500 0.500 0.500
0.000 0.500 0.000
0.000 0.000 0.500
0.500 0.000 0.000

***

(23)
Pa2FeSb PBE optimized geometry; energy relative to the elements, uncorrected = -271 meV/atom; energy relative to the lowest polymorph listed for this composition = 0.033 eV per atom; space-group type = P2_1/m (11)
1.0
-0.408 -4.053 1.715
4.092 0.484 2.118
-4.234 3.542 7.360
Pa Fe Sb
4 2 2
direct
0.750 0.750 0.510
0.250 0.250 0.490
0.250 0.750 0.099
0.750 0.250 0.901
0.250 0.250 0.123
0.750 0.750 0.877
0.750 0.249 0.255
0.250 0.751 0.745

***

(24)
CuSeBr2 PBE optimized geometry; energy relative to the elements, uncorrected = 65 meV/atom; energy relative to the lowest polymorph listed for this composition = 0.231 eV per atom; space-group type = C2/m (12)
1.0
6.126 0.219 -0.046
5.031 3.502 -0.046
1.122 0.374 5.931
Br Cu Se
2 1 1
direct
0.117 0.117 0.953
0.383 0.383 0.547
0.750 0.750 0.750
0.250 0.250 0.250

***

(25)
TbPm2Pr6Mg PBE optimized geometry; energy of formation from the pure elements = 0.107 eV per atom; space-group type = C2/c (15)
1.0
9.416 -2.307 -2.394
0.729 8.598 -1.797
0.729 -2.115 8.526
Tb Pm Pr Mg
2 4 12 2
direct
0.250 0.985 0.015
0.750 0.015 0.985
0.445 0.801 0.713
0.055 0.287 0.199
0.555 0.199 0.287
0.945 0.713 0.801
0.051 0.119 0.750
0.449 0.250 0.881
0.949 0.881 0.250
0.551 0.750 0.119
0.308 0.998 0.427
0.192 0.573 0.002
0.692 0.002 0.573
0.808 0.427 0.998
0.113 0.697 0.504
0.387 0.496 0.303
0.887 0.303 0.496
0.613 0.504 0.697
0.250 0.404 0.596
0.750 0.596 0.404

***

Uncorrected energy across the listed records, respectively: -47.9 -45.6 -26.1 -15.2 -21.6 -28.5 -30.6 -80.2 -22.4 -42.7 -14.6 -24.2 -8.3 -20.8 -72.6 -13.8 -22.3 -10.6 -22.7 -14.8 -24.8 -6.9 -32.7 -10.7 -43.3 eV/f.u..